Entry 1:
Material: BaAg2Pt3
Method: DFT, PBE-GGA
State: optimized geometry

```
BaAg2Pt3
1.0
5.6224 0.0000 0.0000
-2.8112 4.8691 0.0000
0.0000 0.0000 4.5408
Ba Ag Pt
1 2 3
Cartesian
0.0000 0.0000 0.0000
0.0000 3.2461 0.0000
2.8112 1.6230 0.0000
-1.4056 2.4346 2.2704
2.8112 0.0000 2.2704
1.4056 2.4346 2.2704
```

Output
Symmetry: P6/mmm, No. 191
Total energy: -28.10 eV per cell

Entry 2:
Material: NdNi2B2
Method: DFT, PBE-GGA
State: optimized geometry

```
NdNi2B2
1.0
4.2689 -2.7477 0.0000
4.2689 2.7477 0.0000
-4.1164 0.0000 5.4682
Nd Ni B
2 4 4
Cartesian
1.1816 2.0831 4.1012
3.2398 -2.0831 1.3671
1.9732 0.5186 1.6469
-0.0850 -0.5186 4.3810
4.5064 0.5186 1.0873
2.4482 -0.5186 3.8214
-1.2165 0.9643 5.3253
3.5797 0.9643 2.8771
0.8417 -0.9643 2.5911
5.6379 -0.9643 0.1430
```

Output
Symmetry: C2/c, No. 15
Total energy: -63.29 eV per cell

Entry 3:
Material: HfGa2AgBr6
Method: DFT, PBE-GGA
State: optimized geometry

```
HfGa2AgBr6
1.0
0.0000 5.4448 5.4448
5.4448 0.0000 5.4448
5.4448 5.4448 0.0000
Hf Ga Ag Br
1 2 1 6
Cartesian
0.0000 0.0000 0.0000
2.7224 2.7224 2.7224
8.1672 8.1672 8.1672
5.4448 5.4448 5.4448
5.4448 5.4448 2.6358
5.4448 2.6358 5.4448
8.2538 5.4448 5.4448
2.6358 5.4448 5.4448
5.4448 8.2538 5.4448
5.4448 5.4448 8.2538
```

Output
Symmetry: Fm-3m, No. 225
Total energy: -35.17 eV per cell